DFT (PBE) results for crystalline NaHoCoS3 at its relaxed geometry.

## Properties
ΔE to the lowest computed polymorph (eV/f.u.): 0.24
Calculated volume (Å³/atom): 21.2
Total DFT energy (no corrections) (eV per cell): -130.60
Total magnetization (μB per formula unit): 2.995

Cell: 3.8361 12.8045 10.3715 Å, 90.00 90.00 90.00°
With the nearest neighbours (Å) after each atom.
Space group Cmcm (No. 63)
Symmetry-distinct sites (fractional):
Na: 0.0000 0.2484 0.2500 [4 per cell]  6 S 2.97-3.01
Ho: 0.0000 0.0000 0.0000 [4 per cell]  6 S 2.69-2.76
Co: 0.0000 0.4718 0.7500 [4 per cell]  4 S 2.25-2.33
S: 0.0000 0.0745 0.7500 [4 per cell]  2 Co 2.33
S: 0.0000 0.3661 0.5773 [8 per cell]  1 Co 2.25

***

DFT (PBE) results for crystalline NaHoCoS3 at its relaxed geometry.

## Properties
ΔE to the lowest computed polymorph (eV/f.u.): 0.23
Calculated volume (Å³/atom): 21.4
Total DFT energy (no corrections) (eV per cell): -130.64
Total magnetization (μB per formula unit): 2.981

Cell: 10.3838 3.8429 12.8522 Å, 90.00 90.00 90.00°
With the nearest neighbours (Å) after each atom.
Space group Pnma (No. 62)
Symmetry-distinct sites (fractional):
Na: 0.2165 0.2500 0.0007 [4 per cell]  7 S 3.00-3.22
Ho: 0.0162 0.7500 0.2597 [4 per cell]  6 S 2.69-2.77
Co: 0.2333 0.7500 0.7796 [4 per cell]  4 S 2.24-2.33
S: 0.0543 0.7500 0.8779 [4 per cell]  1 Co 2.25
S: 0.0994 0.2500 0.3900 [4 per cell]  1 Co 2.24
S: 0.2375 0.2500 0.6772 [4 per cell]  2 Co 2.33